# 1
The following is a DFT calculation (PBE) of an optimized crystal structure of AlHSe2.

Cell lengths 5.357, 5.357, 10.669 Å; angles 90.00, 90.00, 90.00 degrees
Space group I-42d (No. 122)
Asymmetric unit:
Al (0.000, 0.000, 0.000) [4 per cell]
H (0.000, 0.000, 0.500) [4 per cell]
Se (0.217, 0.250, 0.625) [8 per cell]

Computed properties:
Calculated volume: 306 Å³ per cell
N(E_F): 0.0 states/eV per cell
Total magnetization: 0.00 μB per cell
E above lowest polymorph: 316 meV/atom
Mass density: 4033 kg/m³

# 2
The following is a DFT calculation (PBE) of an optimized crystal structure of Y2TcGe.

Cell lengths 7.856, 7.856, 5.921 Å; angles 90.00, 90.00, 90.00 degrees
Space group I-42d (No. 122)
Asymmetric unit:
Y (0.213, 0.750, 0.125) [8 per cell]
Tc (0.000, 0.000, 0.000) [4 per cell]
Ge (0.000, 0.000, 0.500) [4 per cell]

Computed properties:
Calculated volume: 365 Å³ per cell
N(E_F): 21.1 states/eV per cell
Total magnetization: 0.00 μB per cell
Energy relative to the elements: 221.6 meV per atom
Mass density: 6333 kg/m³